Compound: LiAgSnS3
Source: OQMD
Functional: GGA-PBE
Structure: relaxed

energy relative to the lowest polymorph listed for this composition: 0.009 eV/atom
DFT total energy: -96.98 eV per cell
crystal system: orthorhombic

Cell lengths 13.645, 3.789, 9.463 Å; angles 90.00, 90.00, 90.00 degrees
Fractional positions:
Li 0.104 0.250 0.025
Li 0.396 0.750 0.525
Li 0.604 0.250 0.475
Li 0.896 0.750 0.975
Ag 0.230 0.750 0.783
Ag 0.270 0.250 0.283
Ag 0.730 0.750 0.717
Ag 0.770 0.250 0.217
Sn 0.028 0.750 0.330
Sn 0.472 0.250 0.830
Sn 0.528 0.750 0.170
Sn 0.972 0.250 0.670
S 0.054 0.750 0.826
S 0.111 0.250 0.484
S 0.171 0.750 0.170
S 0.329 0.250 0.670
S 0.389 0.750 0.984
S 0.446 0.250 0.326
S 0.554 0.750 0.674
S 0.611 0.250 0.016
S 0.671 0.750 0.330
S 0.829 0.250 0.830
S 0.889 0.750 0.516
S 0.946 0.250 0.174